DFT (GGA-PBE) results for a relaxed structure of MgScPb2.

Results
Total energy, Ha/atom: -0.14634
Crystal system: orthorhombic
DOS at the Fermi energy, states/eV/f.u.: 2.5

Cell: 3.4324 3.4324 8.7184 Å, 90.00 90.00 95.92°
Last column: nearest neighbours and their distance in Å.
Fractional positions:
Mg (0.0000, 0.0000, 0.0000)  8 Pb 3.17-3.35, 4 Mg 3.43
Sc (0.0000, 0.0000, 0.5000)  8 Pb 3.17-3.35, 4 Sc 3.43
Pb (0.5000, 0.5000, 0.2499)  4 Mg 3.17-3.35, 4 Sc 3.17-3.35, 4 Pb 3.43
Pb (0.5000, 0.5000, 0.7501)  4 Mg 3.17-3.35, 4 Sc 3.17-3.35, 4 Pb 3.43

DFT (GGA-PBE) results for a relaxed structure of Mg2ScPb.

Results
Total energy, Ha/atom: -0.12354
Crystal system: tetragonal
DOS at the Fermi energy, states/eV/f.u.: 3.0

Cell: 3.4394 3.4394 8.3689 Å, 90.00 90.00 90.00°
Last column: nearest neighbours and their distance in Å.
Fractional positions:
Mg (0.0000, 0.0000, 0.2466)  4 Sc 3.19, 4 Pb 3.23, 4 Mg 3.44
Mg (0.0000, 0.0000, 0.7534)  4 Sc 3.19, 4 Pb 3.23, 4 Mg 3.44
Sc (0.5000, 0.5000, 0.0000)  8 Mg 3.19, 4 Sc 3.44
Pb (0.5000, 0.5000, 0.5000)  8 Mg 3.23, 4 Pb 3.44

DFT (GGA-PBE) results for a relaxed structure of Mg2ScPb.

Results
Total energy, Ha/atom: -0.12431
Crystal system: orthorhombic
DOS at the Fermi energy, states/eV/f.u.: 3.7

Cell: 3.4627 4.4714 6.2865 Å, 90.00 90.00 90.00°
Last column: nearest neighbours and their distance in Å.
Fractional positions:
Mg (0.0000, 0.0000, 0.2397)  2 Mg 3.01-3.27, 4 Sc 3.20, 4 Pb 3.27
Mg (0.0000, 0.0000, 0.7603)  2 Mg 3.01-3.27, 4 Sc 3.20, 4 Pb 3.27
Sc (0.5000, 0.5000, 0.0000)  2 Pb 3.14, 8 Mg 3.20, 2 Sc 3.46
Pb (0.5000, 0.5000, 0.5000)  2 Sc 3.14, 8 Mg 3.27, 2 Pb 3.46

DFT (GGA-PBE) results for a relaxed structure of MgScPb2.

Results
Total energy, Ha/atom: -0.14824
Crystal system: monoclinic
DOS at the Fermi energy, states/eV/f.u.: 2.8

Cell: 5.4180 5.4180 3.4809 Å, 90.07 90.07 98.09°
Last column: nearest neighbours and their distance in Å.
Fractional positions:
Mg (0.0000, 0.0000, 0.0000)  8 Pb 3.22, 2 Mg 3.48, 2 Sc 3.55
Sc (0.5000, 0.5000, 0.0000)  8 Pb 3.22, 2 Sc 3.48, 2 Mg 3.55
Pb (0.0000, 0.5000, 0.5000)  4 Mg 3.22, 4 Sc 3.22, 4 Pb 3.48-3.55
Pb (0.5000, 0.0000, 0.5000)  4 Mg 3.22, 4 Sc 3.22, 4 Pb 3.48-3.55

DFT (GGA-PBE) results for a relaxed structure of Mg2ScPb.

Results
Total energy, Ha/atom: -0.12649
Crystal system: monoclinic
DOS at the Fermi energy, states/eV/f.u.: 3.0

Cell: 6.2265 6.2265 5.1120 Å, 111.48 111.48 31.84°
Last column: nearest neighbours and their distance in Å.
Fractional positions:
Mg (0.2485, 0.2485, 0.2467)  6 Mg 3.06-3.42, 2 Sc 3.24, 2 Pb 3.27
Mg (0.7515, 0.7515, 0.7533)  6 Mg 3.06-3.42, 2 Sc 3.24, 2 Pb 3.27
Sc (0.5000, 0.5000, 0.0000)  4 Pb 3.07, 4 Mg 3.24, 2 Sc 3.42
Pb (0.0000, 0.0000, 0.5000)  4 Sc 3.07, 4 Mg 3.27, 2 Pb 3.42

DFT (GGA-PBE) results for a relaxed structure of MgSc2Pb2.

Results
Total energy, Ha/atom: -0.17032
Crystal system: orthorhombic
DOS at the Fermi energy, states/eV/f.u.: 2.2

Cell: 8.5237 8.5237 6.4911 Å, 90.00 90.00 148.02°
Last column: nearest neighbours and their distance in Å.
Fractional positions:
Mg (0.1078, 0.8922, 0.5000)  4 Pb 2.82-3.00
Mg (0.8922, 0.1078, 0.0000)  4 Pb 2.82-3.00
Sc (0.3105, 0.6895, 0.6080)  6 Pb 3.04-3.27, 1 Mg 3.40
Sc (0.4895, 0.5105, 0.3002)  5 Pb 3.02-3.22, 2 Sc 3.26, 2 Mg 3.31
Sc (0.5105, 0.4895, 0.8002)  5 Pb 3.02-3.22, 2 Sc 3.26, 2 Mg 3.31
Sc (0.6895, 0.3105, 0.1080)  6 Pb 3.04-3.27, 1 Mg 3.40
Pb (0.0721, 0.9279, 0.0474)  2 Mg 2.96-3.00, 6 Sc 3.02-3.17
Pb (0.3077, 0.6923, 0.1114)  2 Mg 2.82, 2 Sc 3.04
Pb (0.6923, 0.3077, 0.6114)  2 Mg 2.82, 2 Sc 3.04
Pb (0.9279, 0.0721, 0.5474)  2 Mg 2.96-3.00, 6 Sc 3.02-3.17

DFT (GGA-PBE) results for a relaxed structure of MgScPb2.

Results
Total energy, Ha/atom: -0.14576
Crystal system: monoclinic
DOS at the Fermi energy, states/eV/f.u.: 2.6

Cell: 5.1223 5.1223 6.2948 Å, 100.71 100.71 39.86°
Last column: nearest neighbours and their distance in Å.
Fractional positions:
Mg (0.0000, 0.0000, 0.0000)  6 Pb 3.13-3.14, 2 Mg 3.49
Sc (0.5000, 0.5000, 0.5000)  6 Pb 3.12-3.14
Pb (0.2512, 0.2512, 0.7503)  3 Sc 3.12-3.14, 3 Mg 3.13-3.14
Pb (0.7488, 0.7488, 0.2497)  3 Sc 3.12-3.14, 3 Mg 3.13-3.14

DFT (GGA-PBE) results for a relaxed structure of Mg2ScPb.

Results
Total energy, Ha/atom: -0.12698
Crystal system: tetragonal
DOS at the Fermi energy, states/eV/f.u.: 3.8

Cell: 5.9022 5.9022 5.9022 Å, 136.65 136.65 62.98°
Last column: nearest neighbours and their distance in Å.
Fractional positions:
Mg (0.2500, 0.7500, 0.5000)  4 Mg 3.08, 4 Pb 3.33, 4 Sc 3.33
Mg (0.7500, 0.2500, 0.5000)  4 Mg 3.08, 4 Pb 3.33, 4 Sc 3.33
Sc (0.0000, 0.0000, 0.0000)  4 Pb 3.08, 8 Mg 3.33
Pb (0.5000, 0.5000, 0.0000)  4 Sc 3.08, 8 Mg 3.33

DFT (GGA-PBE) results for a relaxed structure of Mg2ScPb.

Results
Total energy, Ha/atom: -0.12619
Crystal system: monoclinic
DOS at the Fermi energy, states/eV/f.u.: 3.0

Cell: 3.3917 4.3639 6.4631 Å, 90.00 90.14 90.00°
Last column: nearest neighbours and their distance in Å.
Fractional positions:
Mg (0.0000, 0.0000, 0.0000)  6 Mg 3.13-3.39, 2 Sc 3.17-3.29, 4 Pb 3.29
Mg (0.4976, 0.5000, 0.2298)  6 Mg 3.13-3.39, 2 Pb 3.19-3.28, 4 Sc 3.24
Sc (0.9988, 0.0000, 0.4911)  4 Pb 3.14, 6 Mg 3.17-3.29, 2 Sc 3.39
Pb (0.4999, 0.5000, 0.7230)  4 Sc 3.14, 6 Mg 3.19-3.29, 2 Pb 3.39

DFT (GGA-PBE) results for a relaxed structure of MgSc2Pb2.

Results
Total energy, Ha/atom: -0.16463
Crystal system: orthorhombic
DOS at the Fermi energy, states/eV/f.u.: 2.7

Cell: 7.8756 7.8756 4.5762 Å, 90.00 90.00 151.54°
Last column: nearest neighbours and their distance in Å.
Fractional positions:
Mg (0.0000, 0.0000, 0.0000)  4 Sc 3.19, 4 Pb 3.32
Sc (0.3343, 0.6657, 0.0000)  4 Pb 3.00, 2 Mg 3.19, 2 Sc 3.22
Sc (0.6657, 0.3343, 0.0000)  4 Pb 3.00, 2 Mg 3.19, 2 Sc 3.22
Pb (0.1576, 0.8424, 0.5000)  4 Sc 3.00, 2 Mg 3.32
Pb (0.8424, 0.1576, 0.5000)  4 Sc 3.00, 2 Mg 3.32

DFT (GGA-PBE) results for a relaxed structure of MgSc4Pb5.

Results
Total energy, Ha/atom: -0.17129
Crystal system: tetragonal
DOS at the Fermi energy, states/eV/f.u.: 8.4

Cell: 7.2987 7.2987 7.2987 Å, 99.93 99.93 130.92°
Last column: nearest neighbours and their distance in Å.
Fractional positions:
Mg (0.0000, 0.0000, 0.0000)  6 Pb 2.95-3.12
Sc (0.0057, 0.7980, 0.4025)  6 Pb 2.97-3.21
Sc (0.3955, 0.6032, 0.5975)  6 Pb 2.97-3.21
Sc (0.6032, 0.0057, 0.2077)  6 Pb 2.97-3.21
Sc (0.7980, 0.3955, 0.7923)  6 Pb 2.97-3.21
Pb (0.0981, 0.4869, 0.1876)  5 Sc 2.97-3.05, 1 Mg 3.11
Pb (0.2993, 0.9105, 0.8124)  5 Sc 2.97-3.05, 1 Mg 3.11
Pb (0.4869, 0.2993, 0.3888)  5 Sc 2.97-3.05, 1 Mg 3.11
Pb (0.5140, 0.5140, 0.0000)  2 Mg 2.95-3.12, 4 Sc 3.21
Pb (0.9105, 0.0981, 0.6112)  5 Sc 2.97-3.05, 1 Mg 3.11

DFT (GGA-PBE) results for a relaxed structure of Mg2ScPb.

Results
Total energy, Ha/atom: -0.12527
Crystal system: monoclinic
DOS at the Fermi energy, states/eV/f.u.: 3.4

Cell: 5.9032 5.9032 5.6637 Å, 114.74 114.74 33.44°
Last column: nearest neighbours and their distance in Å.
Fractional positions:
Mg (0.0000, 0.0000, 0.0000)  5 Mg 3.05-3.40, 3 Pb 3.25-3.27, 4 Sc 3.29-3.32
Mg (0.2483, 0.2483, 0.9145)  5 Mg 3.05-3.40, 4 Pb 3.23-3.37, 3 Sc 3.26-3.29
Sc (0.4935, 0.4935, 0.4980)  3 Pb 3.05-3.15, 7 Mg 3.26-3.32, 2 Sc 3.40
Pb (0.7451, 0.7451, 0.4258)  3 Sc 3.05-3.15, 7 Mg 3.23-3.37, 2 Pb 3.40

DFT (GGA-PBE) results for a relaxed structure of MgSc2Pb.

Results
Total energy, Ha/atom: -0.17449
Crystal system: orthorhombic
DOS at the Fermi energy, states/eV/f.u.: 2.0

Cell: 3.4172 4.2138 6.4977 Å, 90.00 90.00 90.00°
Last column: nearest neighbours and their distance in Å.
Fractional positions:
Mg (0.0000, 0.0000, 0.0000)  8 Sc 3.16, 2 Pb 3.25, 2 Mg 3.42
Sc (0.5000, 0.5000, 0.2488)  4 Mg 3.16, 4 Pb 3.17, 4 Sc 3.23-3.42
Sc (0.5000, 0.5000, 0.7512)  4 Mg 3.16, 4 Pb 3.17, 4 Sc 3.23-3.42
Pb (0.0000, 0.0000, 0.5000)  8 Sc 3.17, 2 Mg 3.25, 2 Pb 3.42

DFT (GGA-PBE) results for a relaxed structure of Mg2ScPb.

Results
Total energy, Ha/atom: -0.12491
Crystal system: tetragonal
DOS at the Fermi energy, states/eV/f.u.: 3.0

Cell: 3.5776 3.5776 7.5040 Å, 90.00 90.00 90.00°
Last column: nearest neighbours and their distance in Å.
Fractional positions:
Mg (0.0000, 0.0000, 0.0000)  4 Mg 3.06, 4 Sc 3.14
Mg (0.5000, 0.5000, 0.2299)  4 Mg 3.06, 4 Pb 3.19
Sc (0.5000, 0.5000, 0.7528)  4 Mg 3.14, 4 Pb 3.21
Pb (0.0000, 0.0000, 0.4888)  4 Mg 3.19, 4 Sc 3.21

DFT (GGA-PBE) results for a relaxed structure of MgSc2Pb.

Results
Total energy, Ha/atom: -0.16678
Crystal system: trigonal
DOS at the Fermi energy, states/eV/f.u.: 4.4

Cell: 10.7321 10.7321 10.7321 Å, 17.85 17.85 17.85°
Last column: nearest neighbours and their distance in Å.
Fractional positions:
Mg (0.0000, 0.0000, 0.0000)  3 Sc 3.25, 3 Pb 3.33, 6 Mg 3.33
Sc (0.2507, 0.2507, 0.2507)  9 Sc 3.16-3.33, 3 Mg 3.25
Sc (0.5048, 0.5048, 0.5048)  9 Sc 3.16-3.33, 3 Pb 3.33
Pb (0.7524, 0.7524, 0.7524)  3 Mg 3.33, 3 Sc 3.33, 6 Pb 3.33

DFT (GGA-PBE) results for a relaxed structure of MgSc2Pb.

Results
Total energy, Ha/atom: -0.17303
Crystal system: orthorhombic
DOS at the Fermi energy, states/eV/f.u.: 4.6

Cell: 5.9226 5.9226 5.9226 Å, 137.61 136.74 62.17°
Last column: nearest neighbours and their distance in Å.
Fractional positions:
Mg (0.0000, 0.0000, 0.0000)  8 Sc 3.06-3.34, 4 Pb 3.29-3.37
Sc (0.4976, 0.4976, 0.0000)  4 Mg 3.06, 4 Pb 3.33-3.34, 4 Sc 3.33-3.34
Sc (0.7486, 0.2486, 0.5000)  4 Pb 3.06, 4 Sc 3.33-3.34, 4 Mg 3.33-3.34
Pb (0.2467, 0.7467, 0.5000)  8 Sc 3.06-3.34, 4 Mg 3.29-3.37

DFT (GGA-PBE) results for a relaxed structure of MgScPb2.

Results
Total energy, Ha/atom: -0.14259
Crystal system: tetragonal
DOS at the Fermi energy, states/eV/f.u.: 3.4

Cell: 3.4596 3.4596 8.9648 Å, 90.00 90.00 90.00°
Last column: nearest neighbours and their distance in Å.
Fractional positions:
Mg (0.0000, 0.0000, 0.0000)  4 Sc 3.20, 4 Pb 3.24, 4 Mg 3.46
Sc (0.5000, 0.5000, 0.7705)  4 Mg 3.20, 4 Pb 3.22, 4 Sc 3.46
Pb (0.0000, 0.0000, 0.5369)  4 Sc 3.22, 4 Pb 3.46
Pb (0.5000, 0.5000, 0.2376)  4 Mg 3.24, 8 Pb 3.46-3.63

DFT (GGA-PBE) results for a relaxed structure of Mg2ScPb.

Results
Total energy, Ha/atom: -0.12679
Crystal system: tetragonal
DOS at the Fermi energy, states/eV/f.u.: 3.2

Cell: 5.6577 5.6577 5.6577 Å, 133.55 133.55 67.80°
Last column: nearest neighbours and their distance in Å.
Fractional positions:
Mg (0.0000, 0.0000, 0.0000)  4 Pb 3.16, 4 Mg 3.24, 4 Sc 3.24
Mg (0.7500, 0.2500, 0.5000)  4 Sc 3.16, 4 Pb 3.24, 4 Mg 3.24
Sc (0.2500, 0.7500, 0.5000)  8 Mg 3.16-3.24, 4 Pb 3.24
Pb (0.5000, 0.5000, 0.0000)  8 Mg 3.16-3.24, 4 Sc 3.24

DFT (GGA-PBE) results for a relaxed structure of MgScPb2.

Results
Total energy, Ha/atom: -0.14936
Crystal system: tetragonal
DOS at the Fermi energy, states/eV/f.u.: 2.1

Cell: 6.1278 6.1278 6.1278 Å, 138.65 138.65 59.92°
Last column: nearest neighbours and their distance in Å.
Fractional positions:
Mg (0.0000, 0.0000, 0.0000)  8 Pb 3.06-3.42, 4 Sc 3.42
Sc (0.2500, 0.7500, 0.5000)  8 Pb 3.06-3.42, 4 Mg 3.42
Pb (0.5000, 0.5000, 0.0000)  4 Mg 3.06, 4 Pb 3.42, 4 Sc 3.42
Pb (0.7500, 0.2500, 0.5000)  4 Sc 3.06, 4 Pb 3.42, 4 Mg 3.42

DFT (GGA-PBE) results for a relaxed structure of MgScPb2.

Results
Total energy, Ha/atom: -0.14559
Crystal system: trigonal
DOS at the Fermi energy, states/eV/f.u.: 3.5

Cell: 9.6027 9.6027 9.6027 Å, 21.46 21.46 21.46°
Last column: nearest neighbours and their distance in Å.
Fractional positions:
Mg (0.0000, 0.0000, 0.0000)  6 Pb 3.11
Sc (0.5000, 0.5000, 0.5000)  6 Pb 3.13
Pb (0.2504, 0.2504, 0.2504)  3 Mg 3.11, 3 Sc 3.13
Pb (0.7496, 0.7496, 0.7496)  3 Mg 3.11, 3 Sc 3.13

Number 1: energy relative to the elements -146 meV/atom, spin magnetization 0.316 Bohr magnetons per cell. Number 2: energy relative to the elements -55 meV/atom, spin magnetization 0.252 Bohr magnetons per cell. Number 3: energy relative to the elements -75 meV/atom, spin magnetization 0.003 Bohr magnetons per cell. Number 4: energy relative to the elements -198 meV/atom, spin magnetization 0.001 Bohr magnetons per cell. Number 5: energy relative to the elements -135 meV/atom, spin magnetization 0.001 Bohr magnetons per cell. Number 6: energy relative to the elements -300 meV/atom, spin magnetization 0.000 Bohr magnetons per cell. Number 7: energy relative to the elements -131 meV/atom, spin magnetization 0.002 Bohr magnetons per cell. Number 8: energy relative to the elements -148 meV/atom, spin magnetization 0.001 Bohr magnetons per cell. Number 9: energy relative to the elements -127 meV/atom, spin magnetization 0.000 Bohr magnetons per cell. Number 10: energy relative to the elements -145 meV/atom, spin magnetization 0.000 Bohr magnetons per cell. Number 11: energy relative to the elements -115 meV/atom, spin magnetization 0.000 Bohr magnetons per cell. Number 12: energy relative to the elements -101 meV/atom, spin magnetization 0.000 Bohr magnetons per cell. Number 13: energy relative to the elements -257 meV/atom, spin magnetization 0.606 Bohr magnetons per cell. Number 14: energy relative to the elements -92 meV/atom, spin magnetization 0.510 Bohr magnetons per cell. Number 15: energy relative to the elements -47 meV/atom, spin magnetization 0.636 Bohr magnetons per cell. Number 16: energy relative to the elements -217 meV/atom, spin magnetization 0.000 Bohr magnetons per cell. Number 17: energy relative to the elements -44 meV/atom, spin magnetization 0.268 Bohr magnetons per cell. Number 18: energy relative to the elements -143 meV/atom, spin magnetization 0.000 Bohr magnetons per cell. Number 19: energy relative to the elements -229 meV/atom, spin magnetization 0.000 Bohr magnetons per cell. Number 20: energy relative to the elements -126 meV/atom, spin magnetization 0.000 Bohr magnetons per cell.